Record 1
This record from Alexandria via LeMat-Bulk describes K2MgPb2 after structural relaxation. The functional is PBE.

The calculation puts the energy relative to the lowest polymorph listed for this composition at 0.28 eV per formula unit. The crystal system is tetragonal.

The structure belongs to space group P4/mbm (No. 127); the cell edges are 7.9728, 7.9728 and 5.8942 Å and the angles 90.00°, 90.00° and 90.00°. Symmetry generates all atoms from K at (0.1712, 0.3288, 0.0000), Mg at (0.0000, 0.0000, 0.5000) and Pb at (0.1377, 0.6377, 0.5000).


Record 2
This record from Alexandria via LeMat-Bulk describes K2MgPb after structural relaxation. The functional is PBE.

The crystal system is orthorhombic.

The structure belongs to space group Immm (No. 71); the cell edges are 4.8676, 5.2545 and 11.4963 Å and the angles 90.00°, 90.00° and 90.00°. Symmetry generates all atoms from K at (0.0000, 0.0000, 0.2494), Mg at (0.0000, 0.5000, 0.5000) and Pb at (0.0000, 0.5000, 0.0000).


| no. | formation energy from the elements (meV/atom) | D(E_F) (states/eV per cell) |
| --- | --- | --- |
| 1 | -48 | 9.38 |
| 2 | 72 | 2.70 |